# 1
16
Lattice="-1.786 5.728 -4.204 -3.104 -4.532 -4.848 -9.136 0.856 5.049" Properties=species:S:1:pos:R:3 comment="La14DyCd | Alexandria via LeMat-Bulk | PBE | relaxed" final_energy_ev_per_atom=-4.69 magnetic_moment_mub_per_fu=0.00 vol_a3_per_atom=35.1 ef_mev_per_atom=-30 pbc="T T T"
La -8.305 -0.331 1.431
La -4.533 2.054 -3.205
La -9.173 2.489 -0.641
La -6.050 -0.179 -5.595
La -1.066 1.578 -2.197
La -7.178 -0.257 -2.082
La -10.709 0.257 -3.020
La -8.075 2.609 -4.192
La -9.844 -2.560 -0.946
La -6.518 4.879 -1.759
La -5.621 2.009 0.350
La -5.160 -2.999 -3.535
La -3.646 -0.768 -1.144
La -3.496 2.172 -6.694
Cd -2.610 -0.686 -4.607
Dy -1.951 4.445 -4.284

# 2
6
Lattice="-0.861 -1.386 4.614 -4.323 -1.953 1.202 0.353 -6.468 0.718" Properties=species:S:1:pos:R:3 comment="NbVBi | Alexandria via LeMat-Bulk | PBE | relaxed" final_energy_ev_per_atom=-7.31 magnetic_moment_mub_per_fu=0.00 vol_a3_per_atom=20.3 ef_mev_per_atom=381 pbc="T T T"
Nb -3.894 -6.659 5.059
Nb -0.937 -3.149 1.474
Bi -3.083 -3.186 3.658
Bi -1.748 -6.621 2.875
V -0.105 -5.291 0.986
V -4.727 -4.517 5.547

# 3
80
Lattice="6.772 0.000 0.000 0.000 11.702 0.028 0.000 -4.066 13.120" Properties=species:S:1:pos:R:3 comment="Rb2TeH6SO10 | Alexandria via LeMat-Bulk | PBE | relaxed" final_energy_ev_per_atom=-5.26 magnetic_moment_mub_per_fu=0.19 vol_a3_per_atom=13.0 pbc="T T T"
O 5.007 6.999 12.602
O 2.806 4.048 0.499
O 0.367 1.027 9.270
O 2.544 5.219 10.993
O 4.866 5.644 10.297
O 6.007 0.279 1.779
O 5.829 2.270 7.291
O 3.752 0.759 3.864
O 4.151 6.130 1.793
O 0.657 4.259 8.366
O 2.443 -0.484 5.843
O 5.292 -0.207 10.283
O 1.821 8.538 6.300
O 5.151 1.148 12.588
O 1.765 0.638 0.546
O 3.433 3.142 4.358
O 4.228 2.418 2.156
O 4.328 8.121 7.305
O 6.115 3.377 4.782
O 0.765 7.357 11.369
O 6.405 6.610 3.878
O 1.906 1.992 2.851
O 0.047 -1.357 8.776
O 0.842 -0.632 10.979
O 3.339 4.494 8.790
O 2.729 -1.592 8.352
O 1.621 6.489 0.560
O 6.192 -2.263 12.635
O 3.966 3.588 12.649
O 2.621 1.506 11.355
O 6.725 8.993 4.372
O 4.950 -0.902 6.848
O 4.043 9.228 4.796
O 0.580 9.899 0.513
O 3.019 6.878 9.284
O 5.930 8.269 2.169
O 0.942 5.367 5.857
O 1.480 7.843 2.865
O 5.207 4.950 6.862
O 1.565 2.687 6.286
S 0.063 7.925 3.318
S 3.449 5.562 9.844
S 6.709 -0.289 9.830
S 3.323 2.074 3.304
H 5.544 -1.214 7.592
H 3.330 4.074 12.045
H 6.716 9.414 1.117
H 5.049 6.483 11.738
H 0.396 5.814 5.139
H 1.228 8.851 5.556
H 5.045 9.187 4.783
H 3.442 3.563 1.103
H 1.723 1.153 1.411
H 1.663 7.004 1.425
H 6.376 1.822 8.009
H 4.614 4.637 7.606
H 5.109 0.632 11.724
H 1.659 4.300 8.379
H 3.782 7.673 8.023
H 2.990 -0.037 5.125
H 1.727 -1.551 8.365
H 2.158 3.000 5.542
H 4.789 6.900 1.786
H 1.983 0.736 11.362
H 5.113 3.336 4.769
H 1.403 6.587 11.376
H 5.369 1.049 1.772
H 0.056 -1.778 12.031
Rb 3.371 -2.345 11.300
Rb 3.401 9.981 1.848
Rb 3.520 6.230 4.739
Rb 0.135 7.257 8.423
Rb 0.015 3.506 11.314
Rb 3.251 1.406 8.409
Rb 6.637 0.379 4.725
Rb 6.756 4.130 1.834
Te 3.386 -2.033 6.560
Te 0.000 3.818 6.574
Te 3.386 5.851 0.014
Te 0.000 0.000 0.000

# 4
8
Lattice="7.376 0.000 0.049 0.000 2.904 0.000 0.030 0.000 6.178" Properties=species:S:1:pos:R:3 comment="CoPHBr | Alexandria via LeMat-Bulk | PBE | relaxed" final_energy_ev_per_atom=-4.47 magnetic_moment_mub_per_fu=0.29 vol_a3_per_atom=16.5 de_polymorph_mev_per_atom=158 pbc="T T T"
H 3.230 0.000 0.173
H 3.245 1.452 3.262
P 1.799 0.000 0.190
P 1.814 1.452 3.279
Br 5.809 0.000 4.615
Br 5.794 1.452 1.526
Co 0.785 0.000 4.474
Co 0.771 1.452 1.385

# 5
8
Lattice="-1.403 -5.593 -3.150 4.952 2.367 -3.612 6.290 -5.045 -0.394" Properties=species:S:1:pos:R:3 comment="RuPbCl6 | Alexandria via LeMat-Bulk | PBE | relaxed" final_energy_ev_per_atom=-3.71 magnetic_moment_mub_per_fu=2.01 vol_a3_per_atom=33.6 pbc="T T T"
Cl 4.739 -8.456 -4.422
Cl 0.804 -5.198 -2.421
Cl 5.101 0.184 -2.734
Cl 7.063 -5.784 -2.484
Cl 9.036 -3.074 -4.735
Cl 2.777 -2.488 -4.672
Pb 4.920 -4.136 -3.578
Ru 0.000 0.000 0.000

# 6
4
Lattice="-2.100 2.749 2.542 -2.153 -3.092 -2.059 3.087 -5.113 4.462" Properties=species:S:1:pos:R:3 comment="Tb2BiSe | Alexandria via LeMat-Bulk | PBE | relaxed" final_energy_ev_per_atom=-5.46 magnetic_moment_mub_per_fu=0.00 vol_a3_per_atom=28.1 de_polymorph_mev_per_atom=0 pbc="T T T"
Tb -1.914 -2.131 0.725
Tb 0.747 -3.324 4.220
Bi 0.467 -4.103 1.202
Se -1.166 -5.455 4.945